Entry 1:
DFT (PBE-GGA) results for PuTlPdS2 after structural relaxation.

The space-group type is No. 13. As for the formation energy from raw total energies: -0.7837 eV/atom. The value obtained for the size of the total moment is 1.000 μB per atom. The density is 7543 kg/m³.

Structure (CIF):
```
data_PuTlPdS2
_chemical_formula_sum 'Pu2 Tl2 Pd2 S4'
_cell_length_a 4.881
_cell_length_b 7.435
_cell_length_c 7.671
_cell_angle_alpha 101.78
_cell_angle_beta 90.00
_cell_angle_gamma 90.00
_symmetry_space_group_name_H-M 'P 1'
_symmetry_Int_Tables_number 1
loop_
_symmetry_equiv_pos_as_xyz
'x,y,z'
loop_
_atom_site_label
_atom_site_type_symbol
_atom_site_fract_x
_atom_site_fract_y
_atom_site_fract_z
Tl1 Tl 0.166 0.500 0.750
S1 S 0.683 0.242 0.544
Pu1 Pu 0.492 0.000 0.250
Pd1 Pd 0.000 0.000 0.500
Tl2 Tl 0.834 0.500 0.250
Pd2 Pd 0.000 0.000 0.000
S2 S 0.317 0.242 0.044
S3 S 0.683 0.758 0.956
Pu2 Pu 0.508 0.000 0.750
S4 S 0.317 0.758 0.456
```

Entry 2:
DFT (PBE-GGA) results for Pu2Tl3PdS6 after structural relaxation.

The space-group type is No. 12. As for the formation energy from raw total energies: -0.8561 eV/atom. The value obtained for the size of the total moment is 0.664 μB per atom. The density is 7820 kg/m³.

Structure (CIF):
```
data_Pu2Tl3PdS6
_chemical_formula_sum 'Pu2 Tl3 Pd1 S6'
_cell_length_a 6.779
_cell_length_b 6.779
_cell_length_c 7.836
_cell_angle_alpha 97.85
_cell_angle_beta 97.85
_cell_angle_gamma 120.81
_symmetry_space_group_name_H-M 'P 1'
_symmetry_Int_Tables_number 1
loop_
_symmetry_equiv_pos_as_xyz
'x,y,z'
loop_
_atom_site_label
_atom_site_type_symbol
_atom_site_fract_x
_atom_site_fract_y
_atom_site_fract_z
S1 S 0.065 0.403 0.199
Pu1 Pu 0.667 0.333 0.000
S2 S 0.597 0.935 0.801
S3 S 0.257 0.257 0.813
S4 S 0.403 0.065 0.199
Tl1 Tl 0.835 0.165 0.500
S5 S 0.743 0.743 0.187
S6 S 0.935 0.597 0.801
Pd1 Pd 0.000 0.000 0.000
Tl2 Tl 0.500 0.500 0.500
Pu2 Pu 0.333 0.667 0.000
Tl3 Tl 0.165 0.835 0.500
```

Entry 3:
DFT (PBE-GGA) results for Pu3Tl3PdS8 after structural relaxation.

The space-group type is No. 12. As for the formation energy from raw total energies: -0.9684 eV/atom. The value obtained for the size of the total moment is 0.885 μB per atom. The density is 7037 kg/m³.

Structure (CIF):
```
data_Pu3Tl3PdS8
_chemical_formula_sum 'Pu3 Tl3 Pd1 S8'
_cell_length_a 7.844
_cell_length_b 7.815
_cell_length_c 8.838
_cell_angle_alpha 116.18
_cell_angle_beta 90.00
_cell_angle_gamma 120.12
_symmetry_space_group_name_H-M 'P 1'
_symmetry_Int_Tables_number 1
loop_
_symmetry_equiv_pos_as_xyz
'x,y,z'
loop_
_atom_site_label
_atom_site_type_symbol
_atom_site_fract_x
_atom_site_fract_y
_atom_site_fract_z
S1 S 0.267 0.534 0.302
S2 S 0.265 0.037 0.310
S3 S 0.215 0.430 0.681
S4 S 0.735 0.963 0.690
Pd1 Pd 0.000 0.000 0.500
Pu1 Pu 0.500 0.500 0.500
S5 S 0.785 0.570 0.319
Tl1 Tl 0.000 0.500 0.000
Pu2 Pu 0.500 0.000 0.500
Pu3 Pu 0.000 0.500 0.500
Tl2 Tl 0.000 0.000 0.000
S6 S 0.733 0.466 0.698
Tl3 Tl 0.500 0.500 0.000
S7 S 0.773 0.037 0.310
S8 S 0.227 0.963 0.690
```

Entry 4:
DFT (PBE-GGA) results for PuU3Pd4S12 after structural relaxation.

The space-group type is No. 155. As for the formation energy from raw total energies: -0.7331 eV/atom. The value obtained for the size of the total moment is 0.225 μB per atom. The density is 6000 kg/m³.

Structure (CIF):
```
data_PuU3Pd4S12
_chemical_formula_sum 'Pu1 U3 Pd4 S12'
_cell_length_a 8.304
_cell_length_b 8.304
_cell_length_c 8.304
_cell_angle_alpha 105.99
_cell_angle_beta 105.99
_cell_angle_gamma 105.99
_symmetry_space_group_name_H-M 'P 1'
_symmetry_Int_Tables_number 1
loop_
_symmetry_equiv_pos_as_xyz
'x,y,z'
loop_
_atom_site_label
_atom_site_type_symbol
_atom_site_fract_x
_atom_site_fract_y
_atom_site_fract_z
S1 S 0.668 0.500 0.332
U1 U 0.000 0.563 0.437
S2 S 0.017 0.689 0.768
Pu1 Pu 0.000 0.000 0.000
Pd1 Pd 0.909 0.091 0.500
S3 S 0.232 0.311 0.983
Pd2 Pd 0.500 0.500 0.500
S4 S 0.983 0.232 0.311
S5 S 0.332 0.668 0.500
U2 U 0.563 0.437 0.000
S6 S 0.090 0.910 0.500
U3 U 0.437 0.000 0.563
Pd3 Pd 0.500 0.909 0.091
S7 S 0.689 0.768 0.017
S8 S 0.311 0.983 0.232
S9 S 0.500 0.090 0.910
Pd4 Pd 0.091 0.500 0.909
S10 S 0.768 0.017 0.689
S11 S 0.500 0.332 0.668
S12 S 0.910 0.500 0.090
```

Entry 5:
DFT (PBE-GGA) results for Pu3U3PdS8 after structural relaxation.

The space-group type is No. 12. As for the formation energy from raw total energies: -1.3528 eV/atom. The value obtained for the size of the total moment is 0.240 μB per atom. The density is 9258 kg/m³.

Structure (CIF):
```
data_Pu3U3PdS8
_chemical_formula_sum 'Pu3 U3 Pd1 S8'
_cell_length_a 7.744
_cell_length_b 7.585
_cell_length_c 7.690
_cell_angle_alpha 119.53
_cell_angle_beta 90.10
_cell_angle_gamma 119.34
_symmetry_space_group_name_H-M 'P 1'
_symmetry_Int_Tables_number 1
loop_
_symmetry_equiv_pos_as_xyz
'x,y,z'
loop_
_atom_site_label
_atom_site_type_symbol
_atom_site_fract_x
_atom_site_fract_y
_atom_site_fract_z
U1 U 0.500 0.500 0.500
Pu1 Pu 0.000 0.500 0.000
Pu2 Pu 0.500 0.500 0.000
S1 S 0.751 0.005 0.257
S2 S 0.258 0.004 0.249
S3 S 0.751 0.502 0.257
U2 U 0.000 0.500 0.500
Pd1 Pd 0.000 0.000 0.500
Pu3 Pu 0.000 0.000 0.000
S4 S 0.750 0.500 0.750
S5 S 0.742 0.996 0.751
S6 S 0.249 0.498 0.743
U3 U 0.500 0.000 0.500
S7 S 0.249 0.995 0.743
S8 S 0.250 0.500 0.250
```

Entry 6:
DFT (PBE-GGA) results for Pu2UPdS4 after structural relaxation.

The space-group type is No. 121. As for the formation energy from raw total energies: -1.2346 eV/atom. The value obtained for the size of the total moment is 1.727 μB per atom. The density is 10325 kg/m³.

Structure (CIF):
```
data_Pu2UPdS4
_chemical_formula_sum 'Pu2 U1 Pd1 S4'
_cell_length_a 6.732
_cell_length_b 5.855
_cell_length_c 5.855
_cell_angle_alpha 70.70
_cell_angle_beta 54.91
_cell_angle_gamma 54.91
_symmetry_space_group_name_H-M 'P 1'
_symmetry_Int_Tables_number 1
loop_
_symmetry_equiv_pos_as_xyz
'x,y,z'
loop_
_atom_site_label
_atom_site_type_symbol
_atom_site_fract_x
_atom_site_fract_y
_atom_site_fract_z
Pu1 Pu 0.500 0.500 0.500
S1 S 0.078 0.416 0.000
S2 S 0.922 0.000 0.584
Pd1 Pd 0.500 0.000 0.000
S3 S 0.494 0.584 0.000
S4 S 0.506 0.000 0.416
Pu2 Pu 0.000 0.500 0.500
U1 U 0.000 0.000 0.000
```

Entry 7:
DFT (PBE-GGA) results for Pu3Sb2Pd after structural relaxation.

The space-group type is No. 72. The energy above the most stable polymorph in this dataset is 59 meV/atom. As for the formation energy from raw total energies: -0.4987 eV/atom. The value obtained for the size of the total moment is 2.974 μB per atom. The density is 11575 kg/m³.

Structure (CIF):
```
data_Pu3Sb2Pd
_chemical_formula_sum 'Pu6 Sb4 Pd2'
_cell_length_a 6.407
_cell_length_b 6.297
_cell_length_c 8.909
_cell_angle_alpha 110.70
_cell_angle_beta 111.07
_cell_angle_gamma 90.00
_symmetry_space_group_name_H-M 'P 1'
_symmetry_Int_Tables_number 1
loop_
_symmetry_equiv_pos_as_xyz
'x,y,z'
loop_
_atom_site_label
_atom_site_type_symbol
_atom_site_fract_x
_atom_site_fract_y
_atom_site_fract_z
Pu1 Pu 0.099 0.837 0.674
Pu2 Pu 0.500 0.750 0.000
Pu3 Pu 0.500 0.250 0.000
Sb1 Sb 0.910 0.632 0.264
Sb2 Sb 0.354 0.132 0.264
Sb3 Sb 0.090 0.368 0.736
Pd1 Pd 0.000 0.750 0.000
Pu4 Pu 0.575 0.337 0.674
Pd2 Pd 0.000 0.250 0.000
Pu5 Pu 0.425 0.663 0.326
Sb4 Sb 0.646 0.868 0.736
Pu6 Pu 0.901 0.163 0.326
```

Entry 8:
DFT (PBE-GGA) results for Pu3Sb2Pd7 after structural relaxation.

The space-group type is No. 166. As for the formation energy from raw total energies: -0.4574 eV/atom. The value obtained for the size of the total moment is 1.419 μB per atom. The density is 11846 kg/m³.

Structure (CIF):
```
data_Pu3Sb2Pd7
_chemical_formula_sum 'Pu3 Sb2 Pd7'
_cell_length_a 5.633
_cell_length_b 5.633
_cell_length_c 9.359
_cell_angle_alpha 72.48
_cell_angle_beta 72.48
_cell_angle_gamma 60.00
_symmetry_space_group_name_H-M 'P 1'
_symmetry_Int_Tables_number 1
loop_
_symmetry_equiv_pos_as_xyz
'x,y,z'
loop_
_atom_site_label
_atom_site_type_symbol
_atom_site_fract_x
_atom_site_fract_y
_atom_site_fract_z
Sb1 Sb 0.668 0.668 0.996
Pu1 Pu 0.856 0.856 0.432
Pd1 Pd 0.414 0.414 0.255
Sb2 Sb 0.332 0.332 0.004
Pu2 Pu 0.144 0.144 0.568
Pu3 Pu 0.000 0.000 0.000
Pd2 Pd 0.586 0.082 0.745
Pd3 Pd 0.500 0.500 0.500
Pd4 Pd 0.918 0.414 0.255
Pd5 Pd 0.586 0.586 0.745
Pd6 Pd 0.082 0.586 0.745
Pd7 Pd 0.414 0.918 0.255
```

Entry 9:
DFT (PBE-GGA) results for Pu3Sb2Pd after structural relaxation.

The space-group type is No. 62. The energy above the most stable polymorph in this dataset is 0 meV/atom. As for the formation energy from raw total energies: -0.5582 eV/atom. The value obtained for the size of the total moment is 0.993 μB per atom. The density is 11503 kg/m³.

Structure (CIF):
```
data_Pu3Sb2Pd
_chemical_formula_sum 'Pu12 Sb8 Pd4'
_cell_length_a 4.525
_cell_length_b 10.810
_cell_length_c 12.773
_cell_angle_alpha 90.00
_cell_angle_beta 90.00
_cell_angle_gamma 90.00
_symmetry_space_group_name_H-M 'P 1'
_symmetry_Int_Tables_number 1
loop_
_symmetry_equiv_pos_as_xyz
'x,y,z'
loop_
_atom_site_label
_atom_site_type_symbol
_atom_site_fract_x
_atom_site_fract_y
_atom_site_fract_z
Pu1 Pu 0.250 0.726 0.244
Pu2 Pu 0.750 0.945 0.126
Pd1 Pd 0.250 0.149 0.113
Pu3 Pu 0.250 0.445 0.374
Sb1 Sb 0.750 0.213 0.996
Sb2 Sb 0.750 0.982 0.700
Sb3 Sb 0.750 0.287 0.496
Pd2 Pd 0.250 0.351 0.613
Sb4 Sb 0.250 0.018 0.300
Pd3 Pd 0.750 0.649 0.387
Sb5 Sb 0.250 0.713 0.504
Pu4 Pu 0.250 0.412 0.047
Sb6 Sb 0.750 0.518 0.200
Pu5 Pu 0.750 0.226 0.256
Sb7 Sb 0.250 0.787 0.004
Pd4 Pd 0.750 0.851 0.887
Pu6 Pu 0.750 0.588 0.953
Pu7 Pu 0.250 0.055 0.874
Pu8 Pu 0.250 0.088 0.547
Pu9 Pu 0.750 0.912 0.453
Pu10 Pu 0.750 0.274 0.756
Pu11 Pu 0.250 0.774 0.744
Sb8 Sb 0.250 0.482 0.800
Pu12 Pu 0.750 0.555 0.626
```

Entry 10:
DFT (PBE-GGA) results for PuSb2Pd7 after structural relaxation.

The space-group type is No. 139. As for the formation energy from raw total energies: -0.4395 eV/atom. The value obtained for the size of the total moment is 0.500 μB per atom. The density is 10715 kg/m³.

Structure (CIF):
```
data_PuSb2Pd7
_chemical_formula_sum 'Pu1 Sb2 Pd7'
_cell_length_a 4.141
_cell_length_b 4.141
_cell_length_c 11.517
_cell_angle_alpha 100.36
_cell_angle_beta 100.36
_cell_angle_gamma 90.00
_symmetry_space_group_name_H-M 'P 1'
_symmetry_Int_Tables_number 1
loop_
_symmetry_equiv_pos_as_xyz
'x,y,z'
loop_
_atom_site_label
_atom_site_type_symbol
_atom_site_fract_x
_atom_site_fract_y
_atom_site_fract_z
Pd1 Pd 0.405 0.905 0.810
Sb1 Sb 0.329 0.329 0.657
Pd2 Pd 0.750 0.250 0.500
Pd3 Pd 0.595 0.095 0.190
Pd4 Pd 0.500 0.500 0.000
Pd5 Pd 0.095 0.595 0.190
Pd6 Pd 0.250 0.750 0.500
Pd7 Pd 0.905 0.405 0.810
Sb2 Sb 0.671 0.671 0.343
Pu1 Pu 0.000 0.000 0.000
```

Entry 11:
DFT (PBE-GGA) results for PuSb2Pd4 after structural relaxation.

The space-group type is No. 12. The energy above the most stable polymorph in this dataset is 62 meV/atom. As for the formation energy from raw total energies: -0.4942 eV/atom. The value obtained for the size of the total moment is 0.769 μB per atom. The density is 10927 kg/m³.

Structure (CIF):
```
data_PuSb2Pd4
_chemical_formula_sum 'Pu1 Sb2 Pd4'
_cell_length_a 4.555
_cell_length_b 4.555
_cell_length_c 8.163
_cell_angle_alpha 73.92
_cell_angle_beta 73.92
_cell_angle_gamma 59.86
_symmetry_space_group_name_H-M 'P 1'
_symmetry_Int_Tables_number 1
loop_
_symmetry_equiv_pos_as_xyz
'x,y,z'
loop_
_atom_site_label
_atom_site_type_symbol
_atom_site_fract_x
_atom_site_fract_y
_atom_site_fract_z
Pu1 Pu 0.000 0.000 0.000
Pd1 Pd 0.432 0.432 0.702
Sb1 Sb 0.256 0.256 0.233
Pd2 Pd 0.860 0.860 0.421
Sb2 Sb 0.744 0.744 0.767
Pd3 Pd 0.140 0.140 0.579
Pd4 Pd 0.568 0.568 0.298
```

Entry 12:
DFT (PBE-GGA) results for PuSb2Pd4 after structural relaxation.

The space-group type is No. 136. The energy above the most stable polymorph in this dataset is 0 meV/atom. As for the formation energy from raw total energies: -0.5563 eV/atom. The value obtained for the size of the total moment is 0.775 μB per atom. The density is 10997 kg/m³.

Structure (CIF):
```
data_PuSb2Pd4
_chemical_formula_sum 'Pu2 Sb4 Pd8'
_cell_length_a 4.339
_cell_length_b 7.973
_cell_length_c 7.973
_cell_angle_alpha 90.00
_cell_angle_beta 90.00
_cell_angle_gamma 90.00
_symmetry_space_group_name_H-M 'P 1'
_symmetry_Int_Tables_number 1
loop_
_symmetry_equiv_pos_as_xyz
'x,y,z'
loop_
_atom_site_label
_atom_site_type_symbol
_atom_site_fract_x
_atom_site_fract_y
_atom_site_fract_z
Pd1 Pd 0.000 0.903 0.648
Pd2 Pd 0.500 0.852 0.403
Sb1 Sb 0.000 0.216 0.784
Pd3 Pd 0.500 0.597 0.148
Pu1 Pu 0.000 0.500 0.500
Pu2 Pu 0.500 0.000 0.000
Sb2 Sb 0.500 0.284 0.284
Pd4 Pd 0.000 0.352 0.097
Sb3 Sb 0.000 0.784 0.216
Sb4 Sb 0.500 0.716 0.716
Pd5 Pd 0.500 0.148 0.597
Pd6 Pd 0.500 0.403 0.852
Pd7 Pd 0.000 0.648 0.903
Pd8 Pd 0.000 0.097 0.352
```